Entry from Alexandria: crystalline ErCoGe2Os at its relaxed geometry (PBE-GGA).

abc: 4.095 4.095 5.813
angles: 110.62 110.62 90.00
Positions (direct):
Er1 0.000 0.000 0.000
Co1 0.250 0.750 0.500
Ge1 0.625 0.625 0.251
Ge2 0.375 0.375 0.749
Os1 0.750 0.250 0.500

Final energy (eV for the cell shown): -34.5
Total moment (μB per formula unit): 0.00
V (Å³ per cell): 85
Space group: I-4m2
Calculated formation energy (meV per atom): -476

Entry from Alexandria: crystalline ErCoGe3Os at its relaxed geometry (PBE-GGA).

abc: 5.425 7.451 7.132
angles: 121.49 90.00 90.00
Positions (direct):
Er1 0.750 0.317 0.634
Er2 0.250 0.683 0.366
Co1 0.250 0.056 0.112
Co2 0.750 0.944 0.888
Ge1 0.250 0.233 0.466
Ge2 0.000 0.240 0.000
Ge3 0.500 0.760 0.000
Ge4 0.500 0.240 0.000
Ge5 0.000 0.760 0.000
Ge6 0.750 0.767 0.534
Os1 0.250 0.424 0.849
Os2 0.750 0.576 0.151

Final energy (eV for the cell shown): -74.7
Total moment (μB per formula unit): 0.00
V (Å³ per cell): 246
Space group: Cmcm
Calculated formation energy (meV per atom): -98

Entry from Alexandria: crystalline ErCo3GeP at its relaxed geometry (PBE-GGA).

abc: 5.196 6.265 6.305
angles: 119.79 90.00 90.00
Last column: magnetic moment on the atom in μB.
Positions (direct):
Er1 0.750 0.296 0.591  -0.01
Er2 0.250 0.704 0.409  -0.01
Co1 0.250 0.173 0.345  0.06
Co2 0.000 0.303 0.000  0.01
Co3 0.500 0.697 0.000  0.01
Co4 0.500 0.303 0.000  0.01
Co5 0.000 0.697 0.000  0.01
Co6 0.750 0.827 0.655  0.06
Ge1 0.250 0.957 0.914  0.00
Ge2 0.750 0.043 0.086  0.00
P1 0.250 0.374 0.748  0.00
P2 0.750 0.626 0.252  0.00

Final energy (eV for the cell shown): -76.4
Total moment (μB per formula unit): 0.07
V (Å³ per cell): 178
Space group: Cmcm
Calculated formation energy (meV per atom): -386

Entry from Alexandria: crystalline Er2CoGe4Pt3 at its relaxed geometry (PBE-GGA).

abc: 4.084 4.084 10.790
angles: 90.00 90.00 90.00
Last column: magnetic moment on the atom in μB.
Positions (direct):
Er1 0.500 0.000 0.265  0.01
Er2 0.000 0.500 0.735  0.01
Co1 0.500 0.500 0.500  0.72
Ge1 0.500 0.500 0.000  0.01
Ge2 0.000 0.000 0.000  0.01
Ge3 0.500 0.000 0.627  -0.01
Ge4 0.000 0.500 0.373  -0.01
Pt1 0.000 0.000 0.500  0.06
Pt2 0.500 0.000 0.854  0.00
Pt3 0.000 0.500 0.146  0.00

Final energy (eV for the cell shown): -60.8
Total moment (μB per formula unit): 0.80
V (Å³ per cell): 180
Space group: P-4m2
Calculated formation energy (meV per atom): -793

Entry from Alexandria: crystalline Er2CoGe3Pt4 at its relaxed geometry (PBE-GGA).

abc: 4.152 4.152 10.510
angles: 90.00 90.00 90.00
Last column: magnetic moment on the atom in μB.
Positions (direct):
Er1 0.500 0.000 0.257  -0.02
Er2 0.000 0.500 0.743  -0.02
Co1 0.500 0.500 0.500  1.63
Ge1 0.000 0.000 0.500  0.02
Ge2 0.500 0.000 0.862  0.00
Ge3 0.000 0.500 0.138  0.00
Pt1 0.500 0.500 0.000  0.00
Pt2 0.000 0.000 0.000  0.01
Pt3 0.500 0.000 0.634  0.10
Pt4 0.000 0.500 0.366  0.10

Final energy (eV for the cell shown): -61.9
Total moment (μB per formula unit): 1.80
V (Å³ per cell): 181
Space group: P-4m2
Calculated formation energy (meV per atom): -763

Entry from Alexandria: crystalline ErPuCoGe at its relaxed geometry (PBE-GGA).

abc: 4.886 4.886 4.886
angles: 60.00 60.00 60.00
Last column: magnetic moment on the atom in μB.
Positions (direct):
Ge1 0.250 0.250 0.250  -0.13
Er1 0.500 0.500 0.500  0.23
Co1 0.750 0.750 0.750  -1.43
Pu1 0.000 0.000 0.000  5.28

Final energy (eV for the cell shown): -31.7
Total moment (μB per formula unit): 4.22
V (Å³ per cell): 82
Space group: F-43m
Calculated formation energy (meV per atom): -268